VASP calculation (PBE with a Hubbard U) on MnCd2RuO6 after structural relaxation.

```
10
Lattice="-2.217 -0.322 -3.428 4.384 -2.244 -2.625 -1.672 -5.091 1.560" Properties=species:S:1:pos:R:3 pbc="T T T"
O -1.666 -4.582 -1.928
O -0.858 -2.119 -2.683
O 0.455 -5.668 -3.198
O 0.977 -3.722 -1.119
O 1.263 -3.205 -3.953
O -0.359 -0.052 -0.556
Mn -1.415 -0.206 -2.188
Cd -0.897 -2.554 0.686
Cd 2.131 -1.131 -1.406
Ru 0.003 -3.864 -2.625
```

## Properties
N(E_F): 2.104 states/eV/f.u.
Magnetization: 6.1 Bohr magnetons per cell
Space-group type: P4mm, No. 99
E_tot: -5.71 eV per atom